SrLiHoGa: optimized geometry, PBE.

a b c (Å): 5.3339 5.3339 5.3339
angles (deg): 60.00 60.00 60.00
Last column: nearest neighbours and their distance in Å.
Element x y z (fractional)
1 Sr 0.2500 0.2500 0.2500  4 Li 3.27, 4 Ga 3.27
2 Ho 0.7500 0.7500 0.7500  4 Li 3.27, 4 Ga 3.27
3 Ga 0.5000 0.5000 0.5000  4 Sr 3.27, 4 Ho 3.27
4 Li 0.0000 0.0000 0.0000  4 Ho 3.27, 4 Sr 3.27

Energy of formation from the pure elements, meV/atom: -164
DOS at the Fermi energy, states/eV/f.u.: 3.5
Calculated volume, Å³/cell: 107.3
Magnetization, Bohr magnetons per cell: 0.00